1.
HfTe2Br | SCAN | PBEsol geometry

space group: R-3m
offset from the most stable computed form: 0.00 eV/f.u.
energy relative to the elements, uncorrected: -0.5934 eV per atom

Unit cell a=3.9382 b=3.9382 c=9.3460 alpha=77.84 beta=77.84 gamma=60.00
Last column: nearest neighbours and their distance in Å.
Atoms (fractional coordinates):
Te: 0.8967 0.8967 0.3100  1 Br 2.81, 3 Hf 2.85
Te: 0.1033 0.1033 0.6900  1 Br 2.81, 3 Hf 2.85
Hf: 0.5000 0.5000 0.5000  6 Te 2.85
Br: 0.0000 0.0000 0.0000  2 Te 2.81

---

2.
CdCuTc2 | SCAN | PBEsol geometry

formation energy from the elements: 0.4344 eV/atom
space group: I4/mmm

Unit cell a=3.6363 b=3.6363 c=5.0953 alpha=110.91 beta=110.91 gamma=90.00
Last column: nearest neighbours and their distance in Å.
Atoms (fractional coordinates):
Cd: 0.5000 0.5000 0.0000  4 Cu 2.57, 8 Tc 2.85
Cu: 0.0000 0.0000 0.0000  4 Cd 2.57, 8 Tc 2.85
Tc: 0.7500 0.2500 0.5000  4 Tc 2.57, 4 Cd 2.85, 4 Cu 2.85
Tc: 0.2500 0.7500 0.5000  4 Tc 2.57, 4 Cd 2.85, 4 Cu 2.85

---

3.
CdReP2 | SCAN | PBEsol geometry

formation energy from the elements: 0.0928 eV/atom
space group: P4/mmm

Unit cell a=2.9458 b=2.9458 c=7.6086 alpha=90.00 beta=90.00 gamma=90.00
Last column: nearest neighbours and their distance in Å.
Atoms (fractional coordinates):
Cd: 0.5000 0.5000 0.5000  4 Cd 2.95, 8 P 3.17
P: 0.0000 0.0000 0.8147  4 Re 2.52
P: 0.0000 0.0000 0.1853  4 Re 2.52
Re: 0.5000 0.5000 0.0000  8 P 2.52

---

4.
SrCo2Si2 | SCAN | PBEsol geometry

space group: I4/mmm
energy relative to the elements, uncorrected: -0.4459 eV per atom

Unit cell a=3.8952 b=3.8952 c=5.9252 alpha=109.19 beta=109.19 gamma=90.00
Last column: nearest neighbours and their distance in Å.
Atoms (fractional coordinates):
Sr: 0.0000 0.0000 0.0000  8 Si 3.14, 8 Co 3.27
Si: 0.6429 0.6429 0.2858  4 Co 2.25
Si: 0.3571 0.3571 0.7142  4 Co 2.25
Co: 0.7500 0.2500 0.5000  4 Si 2.25
Co: 0.2500 0.7500 0.5000  4 Si 2.25

---

5.
BMo2I | SCAN | PBEsol geometry

space group: I-42d
energy relative to the elements, uncorrected: 1.0183 eV per atom

Unit cell a=4.7454 b=4.7454 c=7.4318 alpha=108.62 beta=108.62 gamma=90.00
Last column: nearest neighbours and their distance in Å.
Atoms (fractional coordinates):
I: 0.2500 0.7500 0.5000  4 Mo 2.68
I: 0.0000 0.0000 0.0000  4 Mo 2.68
Mo: 0.4920 0.8750 0.2500  2 B 2.13
Mo: 0.7580 0.3750 0.2500  2 B 2.13
Mo: 0.1250 0.2420 0.7500  2 B 2.13
Mo: 0.6250 0.5080 0.7500  2 B 2.13
B: 0.7500 0.2500 0.5000  4 Mo 2.13
B: 0.5000 0.5000 0.0000  4 Mo 2.13

---

6.
Sr3YB3O9 | SCAN | PBEsol geometry

space group: R-3
energy relative to the elements, uncorrected: -3.2158 eV per atom

Unit cell a=7.7623 b=7.7623 c=7.7623 alpha=104.91 beta=104.91 gamma=104.91
Last column: nearest neighbours and their distance in Å.
Atoms (fractional coordinates):
Y: 0.5000 0.5000 0.5000  6 O 2.21
Y: 0.0000 0.0000 0.0000  6 O 2.27
Sr: 0.7365 0.8493 0.3560  6 O 2.46-2.75
Sr: 0.3560 0.7365 0.8493  6 O 2.46-2.75
Sr: 0.8493 0.3560 0.7365  6 O 2.46-2.75
Sr: 0.2635 0.1507 0.6440  6 O 2.46-2.75
Sr: 0.6440 0.2635 0.1507  6 O 2.46-2.75
Sr: 0.1507 0.6440 0.2635  6 O 2.46-2.75
B: 0.6167 0.9635 0.7062  3 O 1.37-1.39
B: 0.7062 0.6167 0.9635  3 O 1.37-1.39
B: 0.9635 0.7062 0.6167  3 O 1.37-1.39
B: 0.2938 0.3833 0.0365  3 O 1.37-1.39
B: 0.0365 0.2938 0.3833  3 O 1.37-1.39
B: 0.3833 0.0365 0.2938  3 O 1.37-1.39
O: 0.8146 0.5384 0.0654  1 B 1.37
O: 0.0654 0.8146 0.5384  1 B 1.37
O: 0.4993 0.2058 0.4422  1 B 1.39
O: 0.2058 0.4422 0.4993  1 B 1.39
O: 0.4422 0.4993 0.2058  1 B 1.39
O: 0.5578 0.5007 0.7942  1 B 1.39
O: 0.5007 0.7942 0.5578  1 B 1.39
O: 0.7942 0.5578 0.5007  1 B 1.39
O: 0.1894 0.9762 0.2634  1 B 1.39
O: 0.9762 0.2634 0.1894  1 B 1.39
O: 0.2634 0.1894 0.9762  1 B 1.39
O: 0.8106 0.0238 0.7366  1 B 1.39
O: 0.0238 0.7366 0.8106  1 B 1.39
O: 0.7366 0.8106 0.0238  1 B 1.39
O: 0.4616 0.9346 0.1854  1 B 1.37
O: 0.9346 0.1854 0.4616  1 B 1.37
O: 0.1854 0.4616 0.9346  1 B 1.37
O: 0.5384 0.0654 0.8146  1 B 1.37

---

7.
MnReCl2 | SCAN | PBEsol geometry

space group: R3m
offset from the most stable computed form: 0.00 eV/f.u.
energy relative to the elements, uncorrected: -0.2672 eV per atom

Unit cell a=3.0436 b=3.0436 c=8.8637 alpha=80.11 beta=80.11 gamma=60.00
Last column: nearest neighbours and their distance in Å.
Atoms (fractional coordinates):
Re: 0.7578 0.7578 0.7265  3 Cl 2.53, 3 Mn 2.56
Mn: 0.4960 0.4960 0.5120  3 Cl 2.39, 3 Re 2.56
Cl: 0.0216 0.0216 0.9353  3 Re 2.53
Cl: 0.2246 0.2246 0.3262  3 Mn 2.39

---

8.
KBeCu2 | SCAN | PBEsol geometry

formation energy from the elements: 0.1751 eV/atom
space group: R-3m

Unit cell a=3.9958 b=3.9958 c=6.2284 alpha=71.29 beta=71.29 gamma=60.00
Last column: nearest neighbours and their distance in Å.
Atoms (fractional coordinates):
Be: 0.0000 0.0000 0.0000  6 Cu 2.32
K: 0.5000 0.5000 0.5000  2 Cu 3.09
Cu: 0.3221 0.3221 0.0337  3 Be 2.32, 3 Cu 2.34
Cu: 0.6779 0.6779 0.9663  3 Be 2.32, 3 Cu 2.34

---

9.
KTl3Ru | SCAN | PBEsol geometry

formation energy from the elements: -0.0303 eV/atom
space group: Pm-3m

Unit cell a=5.2538 b=5.2538 c=5.2538 alpha=90.00 beta=90.00 gamma=90.00
Last column: nearest neighbours and their distance in Å.
Atoms (fractional coordinates):
Ru: 0.0000 0.0000 0.0000  6 Tl 2.63
Tl: 0.0000 0.5000 0.0000  2 Ru 2.63
Tl: 0.0000 0.0000 0.5000  2 Ru 2.63
Tl: 0.5000 0.0000 0.0000  2 Ru 2.63
K: 0.5000 0.5000 0.5000  12 Tl 3.71

---

10.
Tb8Ga3Co | SCAN | PBEsol geometry

formation energy from the elements: -0.4531 eV/atom
space group: P6_3mc

Unit cell a=6.7659 b=9.9230 c=9.9230 alpha=120.00 beta=90.00 gamma=90.00
Last column: nearest neighbours and their distance in Å.
Atoms (fractional coordinates):
Tb: 0.0085 0.3446 0.1723  1 Co 2.80, 3 Ga 2.91-3.07
Tb: 0.0085 0.8277 0.6554  1 Co 2.80, 3 Ga 2.91-3.07
Tb: 0.0085 0.8277 0.1723  1 Co 2.80, 3 Ga 2.91-3.07
Tb: 0.5085 0.6554 0.8277  1 Co 2.80, 3 Ga 2.91-3.07
Tb: 0.5085 0.1723 0.3446  1 Co 2.80, 3 Ga 2.91-3.07
Tb: 0.5085 0.1723 0.8277  1 Co 2.80, 3 Ga 2.91-3.07
Tb: 0.3287 0.6667 0.3333  1 Co 2.62
Tb: 0.8287 0.3333 0.6667  1 Co 2.62
Tb: 0.7091 0.9282 0.4641  1 Co 2.74
Tb: 0.7091 0.5359 0.0718  1 Co 2.74
Tb: 0.7091 0.5359 0.4641  1 Co 2.74
Tb: 0.2091 0.0718 0.5359  1 Co 2.74
Tb: 0.2091 0.4641 0.9282  1 Co 2.74
Tb: 0.2091 0.4641 0.5359  1 Co 2.74
Tb: 0.7281 0.0000 0.0000  6 Ga 3.23-3.34, 8 Tb 3.31-3.52
Tb: 0.2281 0.0000 0.0000  6 Ga 3.23-3.34, 8 Tb 3.31-3.52
Ga: 0.4620 0.3274 0.1637  7 Tb 2.91-3.23
Ga: 0.4620 0.8363 0.6726  7 Tb 2.91-3.23
Ga: 0.4620 0.8363 0.1637  7 Tb 2.91-3.23
Ga: 0.9620 0.6726 0.8363  7 Tb 2.91-3.23
Ga: 0.9620 0.1637 0.3274  7 Tb 2.91-3.23
Ga: 0.9620 0.1637 0.8363  7 Tb 2.91-3.23
Co: 0.9416 0.6667 0.3333  7 Tb 2.62-2.80
Co: 0.4416 0.3333 0.6667  7 Tb 2.62-2.80

---

11.
NdNiP | SCAN | PBEsol geometry

formation energy from the elements: -1.2534 eV/atom
space group: P6_3/mmc

Unit cell a=3.9184 b=3.9184 c=7.9750 alpha=90.00 beta=90.00 gamma=120.00
Last column: nearest neighbours and their distance in Å.
Atoms (fractional coordinates):
Ni: 0.6667 0.3333 0.7500  3 P 2.26
Ni: 0.3333 0.6667 0.2500  3 P 2.26
Nd: 0.0000 0.0000 0.5000  6 P 3.02, 6 Ni 3.02
Nd: 0.0000 0.0000 0.0000  6 Ni 3.02, 6 P 3.02
P: 0.3333 0.6667 0.7500  3 Ni 2.26
P: 0.6667 0.3333 0.2500  3 Ni 2.26

---

12.
SrGaSn | SCAN | PBEsol geometry

formation energy from the elements: -0.6359 eV/atom
space group: P6_3/mmc

Unit cell a=4.5504 b=4.5504 c=18.2826 alpha=90.00 beta=90.00 gamma=120.00
Last column: nearest neighbours and their distance in Å.
Atoms (fractional coordinates):
Sr: 0.0000 0.0000 0.5000  6 Sn 3.38
Sr: 0.0000 0.0000 0.2500  6 Ga 3.08
Sr: 0.0000 0.0000 0.0000  6 Sn 3.38
Sr: 0.0000 0.0000 0.7500  6 Ga 3.08
Ga: 0.6667 0.3333 0.6617  3 Sn 2.75, 3 Sr 3.08
Ga: 0.3333 0.6667 0.1617  3 Sn 2.75, 3 Sr 3.08
Ga: 0.6667 0.3333 0.8383  3 Sn 2.75, 3 Sr 3.08
Ga: 0.3333 0.6667 0.3383  3 Sn 2.75, 3 Sr 3.08
Sn: 0.3333 0.6667 0.8835  3 Ga 2.75
Sn: 0.6667 0.3333 0.3835  3 Ga 2.75
Sn: 0.6667 0.3333 0.1165  3 Ga 2.75
Sn: 0.3333 0.6667 0.6165  3 Ga 2.75

---

Number 1: density of states at the Fermi level 1.87 states/eV/f.u.. Number 2: density of states at the Fermi level 3.25 states/eV/f.u.. Number 3: density of states at the Fermi level 1.34 states/eV/f.u.. Number 4: density of states at the Fermi level 1.44 states/eV/f.u.. Number 5: density of states at the Fermi level 3.79 states/eV/f.u.. Number 6: density of states at the Fermi level 0.00 states/eV/f.u.. Number 7: density of states at the Fermi level 2.20 states/eV/f.u.. Number 8: density of states at the Fermi level 1.42 states/eV/f.u.. Number 9: density of states at the Fermi level 1.34 states/eV/f.u.. Number 10: density of states at the Fermi level 1.78 states/eV/f.u.. Number 11: density of states at the Fermi level 1.36 states/eV/f.u.. Number 12: density of states at the Fermi level 0.39 states/eV/f.u..